Density functional theory data (GGA+U) for a relaxed structure of Sc3Cr5O12.

Energy = -8.11 eV per atom
Total magnetic moment = 0.75 μB/atom

```
Sc3Cr5O12
1.0
-6.1411 6.1411 6.1411
6.1411 -6.1411 6.1411
6.1411 6.1411 -6.1411
Sc Cr O
12 20 48
Direct
0.1250 0.2500 0.3750
0.1250 0.3750 0.7500
0.2500 0.3750 0.1250
0.2500 0.8750 0.6250
0.3750 0.1250 0.2500
0.3750 0.7500 0.1250
0.6250 0.2500 0.8750
0.6250 0.8750 0.7500
0.7500 0.1250 0.3750
0.7500 0.6250 0.8750
0.8750 0.6250 0.2500
0.8750 0.7500 0.6250
0.0000 0.0000 0.0000
0.0000 0.0000 0.5000
0.0000 0.5000 0.0000
0.0000 0.5000 0.5000
0.1250 0.7500 0.8750
0.1250 0.8750 0.2500
0.2500 0.1250 0.8750
0.2500 0.6250 0.3750
0.3750 0.2500 0.6250
0.3750 0.6250 0.7500
0.5000 0.0000 0.0000
0.5000 0.0000 0.5000
0.5000 0.5000 0.0000
0.5000 0.5000 0.5000
0.6250 0.3750 0.2500
0.6250 0.7500 0.3750
0.7500 0.3750 0.6250
0.7500 0.8750 0.1250
0.8750 0.1250 0.7500
0.8750 0.2500 0.1250
0.0358 0.2069 0.1392
0.0358 0.3289 0.8966
0.0677 0.7069 0.6711
0.0677 0.8608 0.3966
0.1034 0.6392 0.4323
0.1034 0.9642 0.6711
0.1392 0.0358 0.2069
0.1392 0.6034 0.9323
0.1711 0.2069 0.5677
0.1711 0.4642 0.6034
0.2069 0.1392 0.0358
0.2069 0.5677 0.1711
0.2931 0.3289 0.9323
0.2931 0.4642 0.3608
0.3289 0.8966 0.0358
0.3289 0.9323 0.2931
0.3608 0.2931 0.4642
0.3608 0.5677 0.8966
0.3966 0.0677 0.8608
0.3966 0.8289 0.5358
0.4323 0.1034 0.6392
0.4323 0.8289 0.7931
0.4642 0.3608 0.2931
0.4642 0.6034 0.1711
0.5358 0.3966 0.8289
0.5358 0.6392 0.7069
0.5677 0.1711 0.2069
0.5677 0.8966 0.3608
0.6034 0.1711 0.4642
0.6034 0.9323 0.1392
0.6392 0.4323 0.1034
0.6392 0.7069 0.5358
0.6711 0.0677 0.7069
0.6711 0.1034 0.9642
0.7069 0.5358 0.6392
0.7069 0.6711 0.0677
0.7931 0.4323 0.8289
0.7931 0.8608 0.9642
0.8289 0.5358 0.3966
0.8289 0.7931 0.4323
0.8608 0.3966 0.0677
0.8608 0.9642 0.7931
0.8966 0.0358 0.3289
0.8966 0.3608 0.5677
0.9323 0.1392 0.6034
0.9323 0.2931 0.3289
0.9642 0.6711 0.1034
0.9642 0.7931 0.8608
```